La3Pr2Tm8, relaxed, DFT GGA-PBE; SG = No. 12; formation enthalpy at 0 K = 263 meV per atom; calculated density = 7.7 g/cm³
1.0
-4.3816 -0.5335 -3.4417
1.5685 -7.4980 -0.8345
-6.8514 1.5848 8.4586
La Pr Tm
3 2 8
Direct
0.5000 0.0000 0.0000
0.0000 0.3011 0.0000
0.0000 0.6989 0.0000
0.5020 0.2406 0.4811
0.4980 0.7594 0.5189
0.9987 0.6646 0.3292
0.0013 0.3354 0.6708
0.0007 0.1320 0.2641
0.9993 0.8680 0.7359
0.5005 0.6003 0.7818
0.5005 0.1815 0.7818
0.4995 0.8185 0.2182
0.4995 0.3997 0.2182

AcSmAsSe, relaxed, DFT GGA-PBE; formation energy from raw total energies = -1716 meV/atom; SG = No. 160; calculated density = 7.5 g/cm³
1.0
4.3441 0.0000 0.0000
2.1721 3.7621 0.0000
2.1721 1.2540 7.1558
Ac Sm As Se
1 1 1 1
Direct
0.9967 0.9967 0.0100
0.5036 0.5036 0.4893
0.2438 0.2438 0.2685
0.7560 0.7560 0.7321

Li6SmCd6, relaxed, DFT GGA-PBE; SG = No. 71; formation enthalpy at 0 K = -209 meV per atom; calculated density = 5.6 g/cm³
1.0
5.3046 0.0000 0.0000
2.6523 6.9890 -0.1091
2.6523 0.0583 6.9896
Li Sm Cd
6 1 6
Direct
0.0000 0.5000 0.0000
0.5000 0.5000 0.0000
0.0000 0.0000 0.5000
0.5000 0.0000 0.5000
0.5000 0.7746 0.2254
0.5000 0.2254 0.7746
0.0000 0.0000 0.0000
0.3484 0.6516 0.6516
0.6516 0.3484 0.3484
0.0000 0.3434 0.6566
0.0000 0.6566 0.3434
0.3047 0.1953 0.1953
0.6953 0.8047 0.8047

LiH4Pd6, relaxed, DFT GGA-PBE; SG = No. 1; raw total energy = -0.32016 Ry per atom; calculated density = 8.4 g/cm³
1.0
7.0721 -0.3691 3.8695
-1.5401 4.7403 2.7004
1.5889 0.6228 5.2899
Li H Pd
1 4 6
Direct
0.0023 0.0023 0.9954
0.7484 0.4445 0.0421
0.6203 0.7512 0.9772
0.2182 0.5223 0.0255
0.4017 0.2701 0.9788
0.4978 0.9883 0.5085
0.9934 0.5032 0.5086
0.5055 0.5030 0.4831
0.0011 0.5009 0.9979
0.0112 0.0140 0.4830
0.5003 0.0002 0.9996

CdNi12Ge6, relaxed, DFT GGA-PBE; SG = No. 166; formation enthalpy at 0 K = -120 meV per atom; calculated density = 8.0 g/cm³
1.0
-1.0404 -5.6874 3.4945
5.8075 2.6134 2.2549
-4.8835 4.3000 1.8171
Cd Ni Ge
1 12 6
Direct
0.0000 0.0000 0.0000
0.8787 0.1213 0.5000
0.8494 0.6019 0.6019
0.6019 0.6019 0.8494
0.3981 0.1506 0.3981
0.3981 0.3981 0.1506
0.1506 0.3981 0.3981
0.1213 0.5000 0.8787
0.5000 0.8787 0.1213
0.1213 0.8787 0.5000
0.8787 0.5000 0.1213
0.5000 0.1213 0.8787
0.6019 0.8494 0.6019
0.7019 0.2664 0.2664
0.2664 0.2664 0.7019
0.2664 0.7019 0.2664
0.7336 0.7336 0.2981
0.2981 0.7336 0.7336
0.7336 0.2981 0.7336

HoThV4, relaxed, DFT GGA-PBE; SG = No. 216; formation enthalpy at 0 K = 205 meV per atom; calculated density = 9.1 g/cm³
1.0
-4.1802 -1.6346 -2.9644
-2.5695 -4.5558 1.2552
-4.9767 0.1913 2.0321
Ho Th V
1 1 4
Direct
0.0000 0.0000 0.0000
0.2500 0.2500 0.2500
0.6254 0.6254 0.1237
0.6254 0.1237 0.6254
0.6254 0.6254 0.6254
0.1237 0.6254 0.6254